(1)
The following is a DFT calculation (PBE) of a relaxed Al3AgI crystal.

Cell and atoms, written as POSCAR:
```
Al3AgI
1.0
5.057 0.000 0.000
0.000 5.057 0.000
0.000 0.000 5.057
Al Ag I
3 1 1
Direct
0.000 0.000 0.500
0.000 0.500 0.000
0.500 0.000 0.000
0.000 0.000 0.000
0.500 0.500 0.500
```

Summary:
**D(E_F)**: 2.16 states/eV per cell
**E above lowest polymorph**: 0 meV per atom

(2)
The following is a DFT calculation (PBE) of a relaxed AlAgI crystal.

Cell and atoms, written as POSCAR:
```
AlAgI
1.0
7.044 0.000 0.000
0.000 6.671 0.000
-2.656 0.000 7.231
Al Ag I
4 4 4
Direct
0.030 0.124 0.152
0.030 0.376 0.652
0.970 0.624 0.348
0.970 0.876 0.848
0.212 0.727 0.690
0.212 0.773 0.190
0.788 0.227 0.810
0.788 0.273 0.310
0.340 0.140 0.627
0.340 0.360 0.127
0.660 0.640 0.873
0.660 0.860 0.373
```

Summary:
**D(E_F)**: 1.87 states/eV per cell

(3)
The following is a DFT calculation (PBE) of a relaxed Al2AgI crystal.

Cell and atoms, written as POSCAR:
```
Al2AgI
1.0
-3.265 3.265 6.067
3.265 -3.265 6.067
3.265 3.265 -6.067
Al Ag I
4 2 2
Direct
0.056 0.625 0.931
0.375 0.306 0.431
0.694 0.125 0.069
0.875 0.944 0.569
0.000 0.000 0.000
0.750 0.250 0.500
0.250 0.750 0.500
0.500 0.500 0.000
```

Summary:
**D(E_F)**: 0.71 states/eV per cell
**E above lowest polymorph**: 0 meV per atom

(4)
The following is a DFT calculation (PBE) of a relaxed Al2Ag2I crystal.

Cell and atoms, written as POSCAR:
```
Al2Ag2I
1.0
8.012 0.000 0.000
0.000 8.012 0.000
0.000 0.000 3.410
Al Ag I
4 4 2
Direct
0.161 0.339 0.000
0.339 0.839 0.000
0.661 0.161 0.000
0.839 0.661 0.000
0.129 0.629 0.500
0.371 0.129 0.500
0.629 0.871 0.500
0.871 0.371 0.500
0.000 0.000 0.500
0.500 0.500 0.500
```

Summary:
**D(E_F)**: 3.39 states/eV per cell
**E above lowest polymorph**: 89 meV per atom

| no. | E_form (uncorrected) (eV per atom) |
| --- | --- |
| 1 | 0.275 |
| 2 | -0.041 |
| 3 | 0.319 |
| 4 | 0.241 |